Entry 1:
Below is a geometry-optimized Ge3Sb5Au12 structure, with properties calculated at the PBE-GGA level.

Geometry as extended XYZ:
```
80
Lattice="-7.8678 7.8678 7.8678 7.8678 -7.8678 7.8678 7.8678 7.8678 -7.8678" Properties=species:S:1:pos:R:3 pbc="T T T"
Ge 3.9339 1.9670 0.0000
Ge 7.8678 3.9339 -1.9670
Ge 1.9670 0.0000 3.9339
Ge 9.8348 0.0000 3.9339
Ge 0.0000 3.9339 1.9670
Ge 3.9339 -1.9670 7.8678
Ge 3.9339 9.8348 0.0000
Ge 7.8678 3.9339 5.9009
Ge -1.9670 7.8678 3.9339
Ge 5.9009 7.8678 3.9339
Ge 0.0000 3.9339 9.8348
Ge 3.9339 5.9009 7.8678
Sb 0.0000 0.0000 0.0000
Sb 3.9339 3.9339 -3.9339
Sb 3.9339 -3.9339 3.9339
Sb 7.8678 0.0000 0.0000
Sb 11.8017 1.9670 0.0000
Sb 7.8678 -3.9339 5.9009
Sb 5.9009 7.8678 -3.9339
Sb 5.9009 0.0000 3.9339
Sb 3.9339 5.9009 0.0000
Sb 7.8678 3.9339 1.9670
Sb -3.9339 3.9339 3.9339
Sb 0.0000 7.8678 0.0000
Sb 0.0000 0.0000 7.8678
Sb 3.9339 3.9339 3.9339
Sb 0.0000 3.9339 5.9009
Sb 3.9339 1.9670 7.8678
Sb 1.9670 7.8678 3.9339
Sb 1.9670 0.0000 11.8017
Sb 0.0000 11.8017 1.9670
Sb -3.9339 5.9009 7.8678
Au 7.5764 -1.3850 2.3765
Au 12.0931 -1.5574 2.5489
Au 2.3765 -0.2914 1.3850
Au 9.4252 5.3189 -4.2253
Au 10.2443 0.2914 1.3850
Au 9.4252 -2.5489 4.2253
Au 1.3850 2.3765 -0.2914
Au 10.4167 3.6425 -1.5574
Au 5.3189 4.2253 -1.5574
Au 6.4828 2.3765 0.2914
Au -0.2914 1.3850 2.3765
Au 4.2253 -1.5574 5.3189
Au 7.5764 6.4828 -2.3765
Au 4.2253 1.5574 2.5489
Au 6.4828 -2.3765 7.5764
Au 5.3189 -4.2253 9.4252
Au 2.5489 4.2253 1.5574
Au 9.2528 5.4913 0.2914
Au 2.3765 7.5764 -1.3850
Au 9.4252 2.5489 3.6425
Au 1.5574 2.5489 4.2253
Au 2.3765 0.2914 6.4828
Au 4.2253 9.4252 -2.5489
Au 7.5764 1.3850 5.4913
Au 0.2914 6.4828 2.3765
Au 3.6425 -1.5574 10.4167
Au 5.4913 7.5764 1.3850
Au 6.3104 5.3189 3.6425
Au -1.5574 5.3189 4.2253
Au 5.4913 0.2914 9.2528
Au -1.3850 2.3765 7.5764
Au 5.3189 3.6425 6.3104
Au 2.5489 12.0931 -1.5574
Au 1.3850 10.2443 0.2914
Au 3.6425 6.3104 5.3189
Au 0.2914 1.3850 10.2443
Au 3.6425 9.4252 2.5489
Au 8.1592 6.4828 5.4913
Au 1.3850 5.4913 7.5764
Au 2.5489 3.6425 9.4252
Au -2.5489 4.2253 9.4252
Au 6.4828 5.4913 8.1592
Au -1.5574 10.4167 3.6425
Au -2.3765 7.5764 6.4828
Au -1.5574 2.5489 12.0931
Au 5.4913 8.1592 6.4828
Au -4.2253 9.4252 5.3189
Au 0.2914 9.2528 5.4913
```

Fermi-level density of states (states/eV per atom): 0.578
Uncorrected formation energy (meV per atom): 103
Space group: Ia-3d (230)
Crystal system: cubic
Final energy (eV/atom): -3.587


Entry 2:
Below is a geometry-optimized TaGeAsSe2 structure, with properties calculated at the PBE-GGA level.

Geometry as extended XYZ:
```
5
Lattice="4.9638 0.0000 0.0000 0.0000 4.9638 0.0000 0.0000 0.0000 5.1658" Properties=species:S:1:pos:R:3 pbc="T T T"
Ta 0.0000 0.0000 0.0000
Ge 2.4819 2.4819 2.5829
As 0.0000 0.0000 2.5829
Se 0.0000 2.4819 0.0000
Se 2.4819 0.0000 0.0000
```

Fermi-level density of states (states/eV per atom): 0.743
Uncorrected formation energy (meV per atom): 222
Space group: P4/mmm (123)
Crystal system: tetragonal
Energy relative to the lowest polymorph listed for this composition (meV/atom): 0
Final energy (eV/atom): -5.396


Entry 3:
Below is a geometry-optimized Sr3HfN structure, with properties calculated at the PBE-GGA level.

Geometry as extended XYZ:
```
5
Lattice="5.3316 0.0000 0.0000 0.0000 5.3316 0.0000 0.0000 0.0000 5.3316" Properties=species:S:1:pos:R:3 pbc="T T T"
Sr 0.0000 0.0000 2.6658
Sr 0.0000 2.6658 0.0000
Sr 2.6658 0.0000 0.0000
Hf 2.6658 2.6658 2.6658
N 0.0000 0.0000 0.0000
```

Fermi-level density of states (states/eV per atom): 1.739
Uncorrected formation energy (meV per atom): 343
Space group: Pm-3m (221)
Crystal system: cubic
Energy relative to the lowest polymorph listed for this composition (meV/atom): 0
Final energy (eV/atom): -4.322